# 1
Sm8C3Se3O | PBE | optimized geometry

- Formation energy (no corrections): -18.046 eV per formula unit
- Total magnetic moment: 0.0 μB/cell
- Fermi-level density of states: 7.111 states/eV/cell

Cell: 7.642 7.636 7.995 Å, 118.51 90.00 120.00°
Sites, in units of the cell vectors:
Se: 0.500 0.500 0.000
Se: 0.000 0.500 0.000
Se: 0.000 0.000 0.000
Sm: 0.736 0.473 0.709
Sm: 0.264 0.527 0.291
Sm: 0.240 0.967 0.707
Sm: 0.240 0.480 0.707
Sm: 0.727 0.967 0.707
Sm: 0.760 0.520 0.293
Sm: 0.760 0.033 0.293
Sm: 0.273 0.033 0.293
C: 0.500 0.000 0.500
C: 0.000 0.500 0.500
C: 0.500 0.500 0.500
O: 0.000 0.000 0.500


# 2
Tb8C3Se4O | PBE | optimized geometry

- Formation energy (no corrections): -23.337 eV per formula unit
- Total magnetic moment: 0.0 μB/cell
- Fermi-level density of states: 4.585 states/eV/cell

Cell: 7.527 7.875 7.526 Å, 118.55 120.00 90.00°
Sites, in units of the cell vectors:
Se: 0.000 0.000 0.500
Se: 0.000 0.000 0.000
Se: 0.500 0.000 0.000
Se: 0.500 0.000 0.500
Tb: 0.728 0.704 0.966
Tb: 0.272 0.296 0.034
Tb: 0.736 0.707 0.471
Tb: 0.238 0.704 0.476
Tb: 0.238 0.704 0.966
Tb: 0.762 0.296 0.034
Tb: 0.264 0.293 0.529
Tb: 0.762 0.296 0.524
C: 0.500 0.500 0.500
C: 0.000 0.500 0.500
C: 0.500 0.500 0.000
O: 0.000 0.500 0.000


# 3
TiC2SeO | PBE | optimized geometry

- Formation energy (no corrections): 8.395 eV per formula unit
- Total magnetic moment: 0.0 μB/cell
- Fermi-level density of states: 2.268 states/eV/cell

Cell: 3.861 3.873 3.861 Å, 90.00 90.00 90.00°
Sites, in units of the cell vectors:
C: 0.500 0.000 0.000
C: 0.000 0.000 0.500
O: 0.000 0.000 0.000
Ti: 0.500 0.500 0.500
Se: 0.000 0.500 0.000


# 4
Tl2CSeO | PBE | optimized geometry

- Formation energy (no corrections): 5.486 eV per formula unit
- Total magnetic moment: 2.1 μB/cell
- Fermi-level density of states: 2.860 states/eV/cell

Cell: 5.554 4.004 5.554 Å, 90.00 90.00 90.00°
Sites, in units of the cell vectors:
Se: 0.000 0.500 0.000
C: 0.500 0.500 0.500
Tl: 0.000 0.000 0.500
Tl: 0.500 0.000 0.000
O: 0.000 0.000 0.000


# 5
TlCSeO2 | PBE | optimized geometry

- Formation energy (no corrections): 3.429 eV per formula unit
- Total magnetic moment: 0.0 μB/cell
- Fermi-level density of states: 1.761 states/eV/cell

Cell: 3.835 4.485 3.835 Å, 90.00 90.00 90.00°
Sites, in units of the cell vectors:
Tl: 0.500 0.500 0.500
C: 0.000 0.500 0.000
Se: 0.000 0.000 0.000
O: 0.000 0.000 0.500
O: 0.500 0.000 0.000


# 6
Tm8C3Se3O | PBE | optimized geometry

- Formation energy (no corrections): -19.756 eV per formula unit
- Total magnetic moment: 0.0 μB/cell
- Fermi-level density of states: 3.953 states/eV/cell

Cell: 7.301 7.298 7.634 Å, 118.53 90.00 119.99°
Sites, in units of the cell vectors:
Se: 0.000 0.500 0.000
Se: 0.000 0.000 0.000
Se: 0.500 0.500 0.000
C: 0.500 0.500 0.500
C: 0.500 0.000 0.500
C: 0.000 0.500 0.500
Tm: 0.277 0.035 0.294
Tm: 0.723 0.965 0.706
Tm: 0.759 0.035 0.294
Tm: 0.759 0.518 0.294
Tm: 0.734 0.469 0.703
Tm: 0.241 0.482 0.706
Tm: 0.266 0.531 0.297
Tm: 0.241 0.965 0.706
O: 0.000 0.000 0.500


# 7
Tm8C3Se4O | PBE | optimized geometry

- Formation energy (no corrections): -23.732 eV per formula unit
- Total magnetic moment: 0.0 μB/cell
- Fermi-level density of states: 4.547 states/eV/cell

Cell: 7.358 7.707 7.358 Å, 118.51 120.00 90.00°
Sites, in units of the cell vectors:
Tm: 0.762 0.298 0.036
Tm: 0.726 0.702 0.964
Tm: 0.274 0.298 0.036
Tm: 0.265 0.296 0.531
Tm: 0.238 0.702 0.476
Tm: 0.735 0.704 0.469
Tm: 0.762 0.298 0.524
Tm: 0.238 0.702 0.964
Se: 0.000 0.000 0.500
Se: 0.500 0.000 0.000
Se: 0.500 0.000 0.500
Se: 0.000 0.000 0.000
O: 0.000 0.500 0.000
C: 0.500 0.500 0.500
C: 0.000 0.500 0.500
C: 0.500 0.500 0.000


# 8
YC2SeO | PBE | optimized geometry

- Formation energy (no corrections): 11.595 eV per formula unit
- Total magnetic moment: 3.4 μB/cell
- Fermi-level density of states: 4.676 states/eV/cell

Cell: 4.668 5.513 4.668 Å, 90.00 90.00 90.00°
Sites, in units of the cell vectors:
Y: 0.000 0.000 0.000
O: 0.500 0.500 0.500
C: 0.500 0.000 0.000
C: 0.000 0.000 0.500
Se: 0.000 0.500 0.000


# 9
Y8C3Se3O | PBE | optimized geometry

- Formation energy (no corrections): -19.528 eV per formula unit
- Total magnetic moment: 0.0 μB/cell
- Fermi-level density of states: 4.396 states/eV/cell

Cell: 7.446 7.444 7.779 Å, 118.57 90.00 119.99°
Sites, in units of the cell vectors:
Y: 0.275 0.034 0.293
Y: 0.241 0.966 0.707
Y: 0.735 0.470 0.705
Y: 0.759 0.034 0.293
Y: 0.759 0.519 0.293
Y: 0.241 0.481 0.707
Y: 0.265 0.530 0.295
Y: 0.725 0.966 0.707
Se: 0.500 0.500 0.000
Se: 0.000 0.000 0.000
Se: 0.000 0.500 0.000
O: 0.000 0.000 0.500
C: 0.000 0.500 0.500
C: 0.500 0.000 0.500
C: 0.500 0.500 0.500


# 10
Y4CSeO2 | PBE | optimized geometry

- Formation energy (no corrections): -15.124 eV per formula unit
- Total magnetic moment: 0.0 μB/cell
- Fermi-level density of states: 2.669 states/eV/cell

Cell: 3.627 6.209 6.534 Å, 70.11 90.00 90.00°
Sites, in units of the cell vectors:
O: 0.500 0.000 0.500
O: 0.000 0.000 0.000
Se: 0.500 0.500 0.000
Y: 0.500 0.757 0.270
Y: 0.000 0.766 0.708
Y: 0.000 0.234 0.292
Y: 0.500 0.243 0.730
C: 0.000 0.500 0.500


# 11
Y8C3Se4O | PBE | optimized geometry

- Formation energy (no corrections): -23.543 eV per formula unit
- Total magnetic moment: 0.0 μB/cell
- Fermi-level density of states: 4.865 states/eV/cell

Cell: 7.502 7.845 7.502 Å, 118.57 120.00 90.00°
Sites, in units of the cell vectors:
Se: 0.500 0.000 0.500
Se: 0.500 0.000 0.000
Se: 0.000 0.000 0.500
Se: 0.000 0.000 0.000
Y: 0.273 0.297 0.035
Y: 0.762 0.297 0.035
Y: 0.735 0.706 0.471
Y: 0.762 0.296 0.524
Y: 0.238 0.703 0.965
Y: 0.265 0.294 0.529
Y: 0.727 0.703 0.965
Y: 0.238 0.704 0.476
C: 0.500 0.500 0.500
C: 0.000 0.500 0.500
C: 0.500 0.500 0.000
O: 0.000 0.500 0.000


# 12
SiC3O | PBE | optimized geometry

- Energy above the lowest structure with this stoichiometry: 0.00 eV/f.u.
- Formation energy (no corrections): 12.534 eV per formula unit
- Total magnetic moment: 0.0 μB/cell
- Fermi-level density of states: 2.984 states/eV/cell

Cell: 3.729 3.729 3.729 Å, 90.00 90.00 90.00°
Sites, in units of the cell vectors:
Si: 0.000 0.000 0.000
O: 0.500 0.500 0.500
C: 0.000 0.000 0.500
C: 0.500 0.000 0.000
C: 0.000 0.500 0.000